Entry from Alexandria via LeMat-Bulk: a relaxed FeTc2Pd crystal (PBE-GGA).

Cell: 6.0679 6.0679 6.0679 Å, 90.00 90.00 90.00°
Element x y z (fractional)
Fe (0.0000, 0.0000, 0.0000)
Fe (0.0000, 0.5000, 0.5000)
Fe (0.5000, 0.0000, 0.5000)
Fe (0.5000, 0.5000, 0.0000)
Tc (0.2500, 0.2500, 0.2500)
Tc (0.2500, 0.2500, 0.7500)
Tc (0.2500, 0.7500, 0.2500)
Tc (0.2500, 0.7500, 0.7500)
Tc (0.7500, 0.2500, 0.2500)
Tc (0.7500, 0.2500, 0.7500)
Tc (0.7500, 0.7500, 0.2500)
Tc (0.7500, 0.7500, 0.7500)
Pd (0.0000, 0.0000, 0.5000)
Pd (0.0000, 0.5000, 0.0000)
Pd (0.5000, 0.0000, 0.0000)
Pd (0.5000, 0.5000, 0.5000)

## Properties
DOS(E_F), states/eV/cell: 39.44
Total magnetic moment, μB per formula unit: 0.0
Energy relative to the elements, eV/f.u.: 2.14
Energy relative to the lowest polymorph listed for this composition, meV per atom: 403